(1)
A plane-wave DFT calculation with PBE was carried out for an optimized crystal structure of BiPt2Rh2.

Cell lengths 7.3349, 7.3349, 3.3141 Å; angles 90.00, 90.00, 90.00 degrees
Sites, in units of the cell vectors:
Rh 0.1622 0.6622 0.5000
Rh 0.6622 0.8378 0.5000
Rh 0.8378 0.3378 0.5000
Rh 0.3378 0.1622 0.5000
Bi 0.0000 0.0000 0.0000
Bi 0.5000 0.5000 0.0000
Pt 0.3693 0.8693 0.0000
Pt 0.8693 0.6307 0.0000
Pt 0.6307 0.1307 0.0000
Pt 0.1307 0.3693 0.0000

Computed properties:
V, Å³ per cell: 178.3

***

(2)
A plane-wave DFT calculation with PBE was carried out for an optimized crystal structure of BiPt2Rh2.

Cell lengths 7.0476, 7.0476, 3.5729 Å; angles 90.00, 90.00, 90.00 degrees
Sites, in units of the cell vectors:
Rh 0.3664 0.8664 0.0000
Rh 0.8664 0.6336 0.0000
Rh 0.6336 0.1336 0.0000
Rh 0.1336 0.3664 0.0000
Bi 0.0000 0.0000 0.0000
Bi 0.5000 0.5000 0.0000
Pt 0.1560 0.6560 0.5000
Pt 0.6560 0.8440 0.5000
Pt 0.8440 0.3440 0.5000
Pt 0.3440 0.1560 0.5000

Computed properties:
V, Å³ per cell: 177.5

***

Most stable to least stable, the ends of the list are (2) and (1).

***

(1)
A plane-wave DFT calculation with PBE was carried out for an optimized crystal structure of Bi6PtRh.

Cell lengths 6.8530, 6.8395, 6.8001 Å; angles 59.48, 59.57, 59.67 degrees
Sites, in units of the cell vectors:
Bi 0.0503 0.4594 0.7540
Bi 0.7353 0.0510 0.7577
Bi 0.5430 0.2628 0.2472
Bi 0.2647 0.9490 0.2423
Bi 0.9497 0.5406 0.2460
Bi 0.4570 0.7372 0.7528
Pt 0.0000 0.0000 0.0000
Rh 0.5000 0.5000 0.5000

Computed properties:
V, Å³ per cell: 223.2

***

(2)
A plane-wave DFT calculation with PBE was carried out for an optimized crystal structure of Bi6PtRh.

Cell lengths 8.5479, 8.5479, 8.5586 Å; angles 109.46, 109.50, 109.40 degrees
Sites, in units of the cell vectors:
Bi 0.1564 0.6556 0.8120
Bi 0.8436 0.3444 0.1880
Bi 0.8414 0.6688 0.5102
Bi 0.1586 0.3312 0.4898
Bi 0.8198 0.1547 0.6589
Bi 0.1802 0.8453 0.3411
Bi 0.5042 0.8391 0.6589
Bi 0.4958 0.1609 0.3411
Bi 0.6654 0.8199 0.1609
Bi 0.3346 0.1801 0.8391
Bi 0.6590 0.5045 0.8391
Bi 0.3410 0.4955 0.1609
Pt 0.0000 0.5000 0.0000
Pt 0.5000 0.0000 0.0000
Rh 0.0000 0.0000 0.5000
Rh 0.5000 0.5000 0.5000

Computed properties:
V, Å³ per cell: 481.7

***

Most stable to least stable, the ends of the list are (2) and (1).

***

(1)
A plane-wave DFT calculation with PBE was carried out for an optimized crystal structure of BiPt3S.

Cell lengths 5.0926, 5.0926, 5.0926 Å; angles 90.00, 90.00, 90.00 degrees
Sites, in units of the cell vectors:
S 0.5000 0.5000 0.5000
Bi 0.0000 0.0000 0.0000
Pt 0.0000 0.5000 0.0000
Pt 0.0000 0.0000 0.5000
Pt 0.5000 0.0000 0.0000

Computed properties:
V, Å³ per cell: 132.1

***

(2)
A plane-wave DFT calculation with PBE was carried out for an optimized crystal structure of BiPt3S.

Cell lengths 4.6283, 4.6283, 4.6283 Å; angles 90.00, 90.00, 90.00 degrees
Sites, in units of the cell vectors:
S 0.0000 0.0000 0.0000
Bi 0.5000 0.5000 0.5000
Pt 0.0000 0.5000 0.0000
Pt 0.0000 0.0000 0.5000
Pt 0.5000 0.0000 0.0000

Computed properties:
V, Å³ per cell: 99.1

***

Most stable to least stable, the ends of the list are (2) and (1).

***

(1)
A plane-wave DFT calculation with PBE was carried out for an optimized crystal structure of BiSb3Pt.

Cell lengths 5.3018, 5.3018, 5.3018 Å; angles 90.00, 90.00, 90.00 degrees
Sites, in units of the cell vectors:
Sb 0.0000 0.5000 0.0000
Sb 0.0000 0.0000 0.5000
Sb 0.5000 0.0000 0.0000
Bi 0.5000 0.5000 0.5000
Pt 0.0000 0.0000 0.0000

Computed properties:
V, Å³ per cell: 149.0

***

(2)
A plane-wave DFT calculation with PBE was carried out for an optimized crystal structure of BiSb3Pt.

Cell lengths 5.7113, 5.7113, 5.7113 Å; angles 90.00, 90.00, 90.00 degrees
Sites, in units of the cell vectors:
Sb 0.0000 0.5000 0.0000
Sb 0.0000 0.0000 0.5000
Sb 0.5000 0.0000 0.0000
Bi 0.0000 0.0000 0.0000
Pt 0.5000 0.5000 0.5000

Computed properties:
V, Å³ per cell: 186.3

***

Most stable to least stable, the ends of the list are (1) and (2).

***

(1)
A plane-wave DFT calculation with PBE was carried out for an optimized crystal structure of Bi2SbPt3.

Cell lengths 7.0249, 7.1795, 7.1795 Å; angles 125.58, 100.73, 100.73 degrees
Sites, in units of the cell vectors:
Bi 0.2500 0.9289 0.0711
Bi 0.2500 0.2154 0.7846
Bi 0.7500 0.0711 0.9289
Bi 0.7500 0.7846 0.2154
Sb 0.2500 0.6011 0.3989
Sb 0.7500 0.3989 0.6011
Pt 0.0440 0.2416 0.3995
Pt 0.5440 0.3995 0.2416
Pt 0.0000 0.5000 0.0000
Pt 0.9560 0.7584 0.6005
Pt 0.5000 0.0000 0.5000
Pt 0.4560 0.6005 0.7584

Computed properties:
V, Å³ per cell: 269.0

***

(2)
A plane-wave DFT calculation with PBE was carried out for an optimized crystal structure of Bi2SbPt3.

Cell lengths 5.5652, 7.5661, 7.5662 Å; angles 120.45, 90.00, 90.00 degrees
Sites, in units of the cell vectors:
Bi 0.2650 0.9909 0.3340
Bi 0.7650 0.0091 0.6660
Bi 0.7650 0.6660 0.0091
Bi 0.2650 0.3340 0.9909
Sb 0.7650 0.3239 0.3239
Sb 0.2650 0.6761 0.6761
Pt 0.0150 0.3494 0.6506
Pt 0.5150 0.6506 0.3494
Pt 0.0150 0.0000 0.0000
Pt 0.5150 0.0000 0.0000
Pt 0.0150 0.6506 0.3494
Pt 0.5150 0.3494 0.6506

Computed properties:
V, Å³ per cell: 274.6

***

Most stable to least stable, the ends of the list are (2) and (1).

***

(1)
A plane-wave DFT calculation with PBE was carried out for an optimized crystal structure of BiSbPt.

Cell lengths 4.1694, 6.9993, 11.2561 Å; angles 90.00, 90.00, 90.00 degrees
Sites, in units of the cell vectors:
Pt 0.2502 0.8806 0.8679
Pt 0.7502 0.6194 0.1321
Pt 0.7498 0.3806 0.6321
Pt 0.2498 0.1194 0.3679
Bi 0.7499 0.2448 0.2192
Bi 0.2499 0.2552 0.7808
Bi 0.2501 0.7448 0.2808
Bi 0.7501 0.7552 0.7192
Sb 0.7502 0.9517 0.0155
Sb 0.2502 0.5483 0.9845
Sb 0.2498 0.4517 0.4845
Sb 0.7498 0.0483 0.5155

Computed properties:
V, Å³ per cell: 328.5

***

(2)
A plane-wave DFT calculation with PBE was carried out for an optimized crystal structure of BiSbPt.

Cell lengths 5.3929, 4.1338, 4.1338 Å; angles 120.00, 90.00, 90.00 degrees
Sites, in units of the cell vectors:
Sb 0.2430 0.3333 0.6667
Bi 0.7391 0.6667 0.3333
Pt 0.0179 0.0000 0.0000

Computed properties:
V, Å³ per cell: 79.8

***

(3)
A plane-wave DFT calculation with PBE was carried out for an optimized crystal structure of BiSbPt.

Cell lengths 6.6858, 6.6858, 6.6858 Å; angles 90.00, 90.00, 90.00 degrees
Sites, in units of the cell vectors:
Bi 0.1286 0.8714 0.3714
Bi 0.8714 0.3714 0.1286
Bi 0.3714 0.1286 0.8714
Bi 0.6286 0.6286 0.6286
Sb 0.8734 0.1266 0.6266
Sb 0.1266 0.6266 0.8734
Sb 0.6266 0.8734 0.1266
Sb 0.3734 0.3734 0.3734
Pt 0.4898 0.5102 0.0102
Pt 0.5102 0.0102 0.4898
Pt 0.0102 0.4898 0.5102
Pt 0.9898 0.9898 0.9898

Computed properties:
V, Å³ per cell: 298.9

***

(4)
A plane-wave DFT calculation with PBE was carried out for an optimized crystal structure of BiSbPt.

Cell lengths 5.4363, 7.2201, 7.9457 Å; angles 89.87, 90.00, 90.00 degrees
Sites, in units of the cell vectors:
Bi 0.2734 0.5680 0.1017
Bi 0.2266 0.5680 0.6018
Bi 0.7266 0.4320 0.8982
Bi 0.7734 0.4320 0.3982
Sb 0.7829 0.9368 0.5969
Sb 0.7171 0.9368 0.0969
Sb 0.2171 0.0632 0.4031
Sb 0.2829 0.0632 0.9031
Pt 0.4935 0.2351 0.6373
Pt 0.9935 0.7649 0.8627
Pt 0.5065 0.7649 0.3627
Pt 0.0065 0.2351 0.1373

Computed properties:
V, Å³ per cell: 311.9

***

Most stable to least stable, the ends of the list are (3) and (2).

***

(1)
A plane-wave DFT calculation with PBE was carried out for an optimized crystal structure of Bi2SbPt2.

Cell lengths 3.9086, 3.9086, 8.7086 Å; angles 77.03, 77.03, 90.00 degrees
Sites, in units of the cell vectors:
Sb 0.0000 0.0000 0.0000
Bi 0.3764 0.3764 0.2472
Bi 0.6236 0.6236 0.7528
Pt 0.7500 0.2500 0.5000
Pt 0.2500 0.7500 0.5000

Computed properties:
V, Å³ per cell: 126.2

***

(2)
A plane-wave DFT calculation with PBE was carried out for an optimized crystal structure of Bi2SbPt2.

Cell lengths 7.5866, 7.5866, 4.0509 Å; angles 90.00, 90.00, 90.00 degrees
Sites, in units of the cell vectors:
Sb 0.0000 0.0000 0.0000
Sb 0.5000 0.5000 0.0000
Bi 0.1627 0.6627 0.5000
Bi 0.6627 0.8373 0.5000
Bi 0.8373 0.3373 0.5000
Bi 0.3373 0.1627 0.5000
Pt 0.3656 0.8656 0.0000
Pt 0.8656 0.6344 0.0000
Pt 0.6344 0.1344 0.0000
Pt 0.1344 0.3656 0.0000

Computed properties:
V, Å³ per cell: 233.2

***

Most stable to least stable, the ends of the list are (2) and (1).

***

(1)
A plane-wave DFT calculation with PBE was carried out for an optimized crystal structure of Bi2Sb2Pt3.

Cell lengths 7.3309, 7.1173, 6.8582 Å; angles 73.30, 90.00, 90.00 degrees
Sites, in units of the cell vectors:
Bi 0.3413 0.1156 0.1400
Bi 0.1587 0.6156 0.1400
Bi 0.8413 0.3844 0.8600
Bi 0.6587 0.8844 0.8600
Sb 0.6531 0.3782 0.3726
Sb 0.1531 0.1218 0.6274
Sb 0.8469 0.8782 0.3726
Sb 0.3469 0.6218 0.6274
Pt 0.5000 0.5000 0.0000
Pt 0.0000 0.0000 0.0000
Pt 0.9675 0.2547 0.2764
Pt 0.4675 0.2453 0.7236
Pt 0.5325 0.7547 0.2764
Pt 0.0325 0.7453 0.7236

Computed properties:
V, Å³ per cell: 342.7

***

(2)
A plane-wave DFT calculation with PBE was carried out for an optimized crystal structure of Bi2Sb2Pt3.

Cell lengths 4.0179, 5.6786, 7.8644 Å; angles 104.84, 104.80, 90.00 degrees
Sites, in units of the cell vectors:
Bi 0.5868 0.7805 0.1736
Bi 0.4132 0.2195 0.8264
Sb 0.8387 0.6678 0.6773
Sb 0.1613 0.3322 0.3227
Pt 0.0000 0.0000 0.0000
Pt 0.7481 0.1780 0.4963
Pt 0.2519 0.8220 0.5037

Computed properties:
V, Å³ per cell: 167.3

***

Most stable to least stable, the ends of the list are (1) and (2).

***

(1)
A plane-wave DFT calculation with PBE was carried out for an optimized crystal structure of BiSbTe2Pt.

Cell lengths 5.8182, 5.8182, 5.7759 Å; angles 90.00, 90.00, 90.00 degrees
Sites, in units of the cell vectors:
Sb 0.0000 0.0000 0.5000
Te 0.0000 0.5000 0.0000
Te 0.5000 0.0000 0.0000
Bi 0.0000 0.0000 0.0000
Pt 0.5000 0.5000 0.5000

Computed properties:
V, Å³ per cell: 195.5

***

(2)
A plane-wave DFT calculation with PBE was carried out for an optimized crystal structure of BiSbTe2Pt.

Cell lengths 5.4094, 5.4094, 5.1547 Å; angles 90.00, 90.00, 90.00 degrees
Sites, in units of the cell vectors:
Sb 0.0000 0.0000 0.5000
Te 0.0000 0.5000 0.0000
Te 0.5000 0.0000 0.0000
Bi 0.5000 0.5000 0.5000
Pt 0.0000 0.0000 0.0000

Computed properties:
V, Å³ per cell: 150.8

***

Most stable to least stable, the ends of the list are (2) and (1).

***

(1)
A plane-wave DFT calculation with PBE was carried out for an optimized crystal structure of Sc2BiPt2.

Cell lengths 3.9112, 3.9112, 7.8469 Å; angles 75.57, 75.57, 90.00 degrees
Sites, in units of the cell vectors:
Sc 0.3757 0.3757 0.2486
Sc 0.6243 0.6243 0.7514
Bi 0.0000 0.0000 0.0000
Pt 0.7500 0.2500 0.5000
Pt 0.2500 0.7500 0.5000

Computed properties:
V, Å³ per cell: 112.3

***

(2)
A plane-wave DFT calculation with PBE was carried out for an optimized crystal structure of Sc2BiPt2.

Cell lengths 7.8444, 7.8444, 3.2866 Å; angles 90.00, 90.00, 90.00 degrees
Sites, in units of the cell vectors:
Sc 0.1593 0.6593 0.5000
Sc 0.6593 0.8407 0.5000
Sc 0.8407 0.3407 0.5000
Sc 0.3407 0.1593 0.5000
Bi 0.0000 0.0000 0.0000
Bi 0.5000 0.5000 0.0000
Pt 0.3703 0.8703 0.0000
Pt 0.8703 0.6297 0.0000
Pt 0.6297 0.1297 0.0000
Pt 0.1297 0.3703 0.0000

Computed properties:
V, Å³ per cell: 202.2

***

Most stable to least stable, the ends of the list are (2) and (1).

***

(1)
A plane-wave DFT calculation with PBE was carried out for an optimized crystal structure of Sc2BiPt2.

Cell lengths 4.5215, 4.5215, 6.3273 Å; angles 69.07, 69.07, 90.00 degrees
Sites, in units of the cell vectors:
Sc 0.7500 0.2500 0.5000
Sc 0.2500 0.7500 0.5000
Bi 0.0000 0.0000 0.0000
Pt 0.3800 0.3800 0.2400
Pt 0.6200 0.6200 0.7600

Computed properties:
V, Å³ per cell: 111.6

***

(2)
A plane-wave DFT calculation with PBE was carried out for an optimized crystal structure of Sc2BiPt2.

Cell lengths 7.9159, 7.9159, 3.3299 Å; angles 90.00, 90.00, 90.00 degrees
Sites, in units of the cell vectors:
Sc 0.3498 0.8498 0.0000
Sc 0.8498 0.6502 0.0000
Sc 0.6502 0.1502 0.0000
Sc 0.1502 0.3498 0.0000
Bi 0.0000 0.0000 0.0000
Bi 0.5000 0.5000 0.0000
Pt 0.1312 0.6312 0.5000
Pt 0.6312 0.8688 0.5000
Pt 0.8688 0.3688 0.5000
Pt 0.3688 0.1312 0.5000

Computed properties:
V, Å³ per cell: 208.7

***

Most stable to least stable, the ends of the list are (1) and (2).